This record from Alexandria via LeMat-Bulk describes a geometry-optimized Li3NiPd3O8 structure. The functional is PBE with a Hubbard U.

Unit cell a=10.603 b=6.017 c=5.919 alpha=90.00 beta=122.68 gamma=90.00
Space group C2/m (No. 12)
One atom of each set of equivalent atoms:
Li (0.000, 0.000, 0.000)
Li (0.250, 0.250, 0.500)
Ni (0.000, 0.000, 0.500)
Pd (0.000, 0.500, 0.500)
Pd (0.250, 0.250, 0.000)
O (0.020, 0.250, 0.752)
O (0.234, 0.000, 0.218)
O (0.235, 0.000, 0.749)

Output
* total DFT energy (no corrections): -154.67 eV for the cell shown
* density of states at the Fermi level: 1.54 states/eV per cell